--- a ---
Crystalline ZnSnPO2 at its relaxed geometry, computed with PBE.

a = 3.9253 Å, b = 3.9253 Å, c = 5.6097 Å
α = 90.00°, β = 90.00°, γ = 90.00°
With the nearest neighbours (Å) after each atom.
Space group P4/mmm (No. 123)
Unique sites:
Zn 0.0000 0.0000 0.0000  4 P 2.78
Sn 0.5000 0.5000 0.5000  4 O 1.96
P 0.5000 0.5000 0.0000  4 Zn 2.78, 2 Sn 2.80
O 0.0000 0.5000 0.5000  2 Sn 1.96

=====

--- b ---
Crystalline ZnSnPO2 at its relaxed geometry, computed with PBE.

a = 3.9005 Å, b = 3.9005 Å, c = 4.9036 Å
α = 90.00°, β = 90.00°, γ = 90.00°
With the nearest neighbours (Å) after each atom.
Space group P4/mmm (No. 123)
Unique sites:
Zn 0.0000 0.0000 0.0000  4 O 1.95
Sn 0.5000 0.5000 0.5000  4 P 2.76
P 0.0000 0.0000 0.5000  2 Zn 2.45
O 0.0000 0.5000 0.0000  2 Zn 1.95

=====

If you had to bet on the most stable structure above, which would it be? Bet on a.